# 1
Crystalline BeAgSn2S at its relaxed geometry, computed with PBE.

Output
**E_form (uncorrected)**: 0.2881 eV per atom

Lattice parameters (Å, degrees): 5.2120 5.2120 4.0370 90.00 90.00 90.00
With the nearest neighbours (Å) after each atom.
Space group P4/mmm (No. 123)
Symmetry-distinct sites (fractional):
Be: 0.0000 0.0000 0.0000  2 S 2.02
Ag: 0.5000 0.5000 0.5000  8 Sn 3.30, 4 S 3.69
Sn: 0.0000 0.5000 0.0000  2 Be 2.61
S: 0.0000 0.0000 0.5000  2 Be 2.02

=====

# 2
Crystalline ScBW2 at its relaxed geometry, computed with PBE.

Output
**ΔE_f**: 3.2 eV/f.u.

Lattice parameters (Å, degrees): 3.7073 3.7073 18.6786 90.00 90.00 90.00
With the nearest neighbours (Å) after each atom.
Space group I-42d (No. 122)
Symmetry-distinct sites (fractional):
Sc: 0.0000 0.0000 0.0000  4 B 2.62, 4 W 2.70
B: 0.0000 0.0000 0.5000  4 Sc 2.62, 4 W 2.66
W: 0.2344 0.2500 0.6250  4 W 2.54-2.70, 2 B 2.66, 2 Sc 2.70

=====

# 3
Crystalline Cr2CuBiW at its relaxed geometry, computed with PBE.

Output
**ΔE_f**: 7.5 eV/f.u.

Lattice parameters (Å, degrees): 4.7635 4.7635 5.2977 90.00 90.00 90.00
With the nearest neighbours (Å) after each atom.
Space group P4/mmm (No. 123)
Symmetry-distinct sites (fractional):
Cr: 0.0000 0.5000 0.0000  2 W 2.38
Cu: 0.0000 0.0000 0.5000  4 Bi 3.37, 8 Cr 3.56
Bi: 0.5000 0.5000 0.5000  2 W 2.65
W: 0.5000 0.5000 0.0000  4 Cr 2.38, 2 Bi 2.65

=====

# 4
Crystalline MnCdW2 at its relaxed geometry, computed with PBE.

Output
**ΔE_f**: 2.3 eV/f.u.

Lattice parameters (Å, degrees): 5.4397 8.8138 2.6914 90.00 90.00 90.00
With the nearest neighbours (Å) after each atom.
Space group Cmmm (No. 65)
Symmetry-distinct sites (fractional):
Mn: 0.0000 0.0000 0.0000  2 Mn 2.69, 2 Cd 2.72, 8 W 2.92
Cd: 0.0000 0.5000 0.0000  2 Cd 2.69, 2 Mn 2.72, 8 W 2.92
W: 0.2500 0.2500 0.5000  4 W 2.69-2.72, 4 Cd 2.92, 4 Mn 2.92

=====

# 5
Crystalline Nb2SiTcIr at its relaxed geometry, computed with PBE.

Output
**E_form (uncorrected)**: 1.0737 eV per atom

Lattice parameters (Å, degrees): 4.8934 4.8934 4.3682 90.00 90.00 90.00
With the nearest neighbours (Å) after each atom.
Space group P4/mmm (No. 123)
Symmetry-distinct sites (fractional):
Nb: 0.0000 0.5000 0.0000  2 Ir 2.45
Si: 0.0000 0.0000 0.5000  2 Ir 2.18
Tc: 0.5000 0.5000 0.5000  8 Nb 3.28, 4 Si 3.46
Ir: 0.0000 0.0000 0.0000  2 Si 2.18

=====

# 6
Crystalline LaPm6Hg at its relaxed geometry, computed with PBE.

Output
**ΔE_f**: -0.4 eV/f.u.

Lattice parameters (Å, degrees): 5.0023 5.0023 10.3381 90.00 90.00 90.00
With the nearest neighbours (Å) after each atom.
Space group P4/mmm (No. 123)
Symmetry-distinct sites (fractional):
La: 0.0000 0.0000 0.0000  12 Pm 3.54-3.67
Pm: 0.0000 0.5000 0.2600  2 Hg 3.52, 8 Pm 3.52-3.67, 2 La 3.67
Pm: 0.5000 0.5000 0.0000  4 La 3.54, 8 Pm 3.67
Pm: 0.5000 0.5000 0.5000  8 Pm 3.52, 4 Hg 3.54
Hg: 0.0000 0.0000 0.5000  12 Pm 3.52-3.54

=====

# 7
Crystalline Ac12HoIr7 at its relaxed geometry, computed with PBE.

Output
**ΔE_f**: -11.4 eV/f.u.

Lattice parameters (Å, degrees): 15.4434 15.4434 10.5170 90.00 90.00 120.00
With the nearest neighbours (Å) after each atom.
Space group R-3 (No. 148, hexagonal axes)
Symmetry-distinct sites (fractional):
Ac: 0.0255 0.4418 0.1587  3 Ir 2.94-2.98
Ac: 0.0451 0.8779 0.8229  3 Ir 2.93-3.00
Ho: 0.0000 0.0000 0.5000  6 Ir 3.02
Ir: 0.0000 0.0000 0.0000  6 Ac 2.97
Ir: 0.0453 0.8650 0.3402  5 Ac 2.93-3.00, 1 Ho 3.02

=====

# 8
Crystalline BPd4Pb at its relaxed geometry, computed with PBE.

Output
**ΔE_f**: -1.5 eV/f.u.
**Distance to the lowest polymorph of the same formula**: 0.00 eV per formula unit

Lattice parameters (Å, degrees): 13.3416 5.0288 5.9300 90.00 106.53 90.00
With the nearest neighbours (Å) after each atom.
Space group C2/c (No. 15)
Symmetry-distinct sites (fractional):
B: 0.2500 0.2500 0.0000  6 Pd 2.09-2.14
Pd: 0.0985 0.1007 0.9430  1 B 2.09
Pd: 0.2021 0.4024 0.6499  2 B 2.13-2.14
Pb: 0.0000 0.3812 0.2500  10 Pd 2.84-3.12

=====

# 9
Crystalline Tm3ScRu2 at its relaxed geometry, computed with PBE.

Output
**ΔE_f**: -2.5 eV/f.u.
**Distance to the lowest polymorph of the same formula**: 0.00 eV per formula unit

Lattice parameters (Å, degrees): 9.2611 9.3814 6.1919 90.00 90.00 90.00
With the nearest neighbours (Å) after each atom.
Space group Cmcm (No. 63)
Symmetry-distinct sites (fractional):
Tm: 0.0000 0.0745 0.2500  4 Ru 2.92
Tm: 0.1813 0.2480 0.7500  4 Ru 2.88
Sc: 0.0000 0.4374 0.2500  4 Ru 2.80
Ru: 0.2432 0.5000 0.0000  2 Sc 2.80, 6 Tm 2.88-2.92, 2 Ru 3.10

=====

# 10
Crystalline Cd3GePd12 at its relaxed geometry, computed with PBE.

Output
**ΔE_f**: -4.3 eV/f.u.

Lattice parameters (Å, degrees): 4.0368 4.0368 15.7789 90.00 90.00 90.00
With the nearest neighbours (Å) after each atom.
Space group P4/mmm (No. 123)
Symmetry-distinct sites (fractional):
Cd: 0.0000 0.0000 0.0000  12 Pd 2.84-2.85
Cd: 0.0000 0.0000 0.2542  12 Pd 2.85-2.87
Ge: 0.0000 0.0000 0.5000  12 Pd 2.73-2.85
Pd: 0.0000 0.5000 0.1271  4 Cd 2.84-2.85, 8 Pd 2.84-2.86
Pd: 0.0000 0.5000 0.3836  2 Ge 2.73, 8 Pd 2.73-2.86, 2 Cd 2.87
Pd: 0.5000 0.5000 0.0000  8 Pd 2.84, 4 Cd 2.85
Pd: 0.5000 0.5000 0.2551  4 Cd 2.85, 8 Pd 2.86
Pd: 0.5000 0.5000 0.5000  8 Pd 2.73, 4 Ge 2.85

=====

# 11
Crystalline Ac2In3Hg9 at its relaxed geometry, computed with PBE.

Output
**ΔE_f**: -3.2 eV/f.u.

Lattice parameters (Å, degrees): 15.5183 8.9062 10.8721 90.00 90.00 90.00
With the nearest neighbours (Å) after each atom.
Space group Cmcm (No. 63)
Symmetry-distinct sites (fractional):
Ac: 0.1632 0.1700 0.2500  11 Hg 3.43-3.80
In: 0.0000 0.0000 0.0000  8 Hg 2.94-3.18
In: 0.1687 0.5000 0.0000  8 Hg 2.98-3.17
Hg: 0.0000 0.1271 0.7500  2 In 2.94, 6 Hg 3.14-3.19
Hg: 0.0000 0.3250 0.0800  3 In 3.02-3.17, 2 Hg 3.22
Hg: 0.0992 0.4349 0.7500  2 In 2.98, 6 Hg 3.08-3.22
Hg: 0.1710 0.1630 0.5903  3 In 3.04-3.18, 2 Hg 3.18-3.19

=====

# 12
Crystalline Pr2Tl3Hg at its relaxed geometry, computed with PBE.

Output
**ΔE_f**: -1.8 eV/f.u.

Lattice parameters (Å, degrees): 7.4412 10.3757 17.7933 90.00 90.00 90.00
With the nearest neighbours (Å) after each atom.
Space group Fmmm (No. 69)
Symmetry-distinct sites (fractional):
Pr: 0.2478 0.0000 0.0000  2 Hg 3.49, 10 Tl 3.50-3.56, 2 Pr 3.69-3.75
Pr: 0.2500 0.2500 0.2500  8 Tl 3.48-3.50, 4 Hg 3.52, 2 Pr 3.72
Tl: 0.0000 0.0000 0.3312  1 Hg 2.93, 2 Tl 3.02
Tl: 0.0000 0.2477 0.0847  1 Hg 2.95, 2 Tl 3.01-3.02
Hg: 0.0000 0.0000 0.1663  3 Tl 2.93-2.95